Computed, not measured: a geometry-optimized Li2SbSe structure at the GGA-PBE level of DFT.

**Calculated total energy**: -3.476 eV per atom
**Formation energy (no corrections)**: -59.6 kJ/mol of atoms
**Symmetry**: No. 10

Cell lengths 3.6517, 3.5416, 6.9625 Å; angles 60.43, 90.00, 90.00 degrees
Element x y z (fractional)
1 Se 0.5000 0.7500 0.7500
2 Li 0.0000 0.4671 0.5392
3 Li 0.0000 0.0329 0.9608
4 Sb 0.5000 0.2500 0.2500

Computed, not measured: a geometry-optimized Li2SbSe structure at the GGA-PBE level of DFT.

**Calculated total energy**: -3.399 eV per atom
**Formation energy (no corrections)**: -52.1 kJ/mol of atoms
**Symmetry**: No. 123

Cell lengths 4.4939, 4.4939, 3.9378 Å; angles 90.00, 90.00, 90.00 degrees
Element x y z (fractional)
1 Sb 0.5000 0.0000 0.5000
2 Li 0.0000 0.0000 0.0000
3 Li 0.5000 0.5000 0.0000
4 Se 0.0000 0.5000 0.5000

Computed, not measured: a geometry-optimized Li2SbSe structure at the GGA-PBE level of DFT.

**Calculated total energy**: -3.287 eV per atom
**Formation energy (no corrections)**: -41.3 kJ/mol of atoms
**Symmetry**: No. 225

Cell lengths 4.8251, 4.8251, 4.8251 Å; angles 60.00, 60.00, 60.00 degrees
Element x y z (fractional)
1 Li 0.7500 0.7500 0.7500
2 Li 0.2500 0.2500 0.2500
3 Sb 0.5000 0.5000 0.5000
4 Se 0.0000 0.0000 0.0000

Total moment values, unit μB per atom, following the record order: 0.00, 0.00, 0.00.
E above lowest polymorph values, unit eV/f.u., following the record order: 0.026, 0.334, 0.784.